# 1
Material: LiMg2Hg
Method: DFT, PBE-GGA
State: relaxed

Geometry as CIF:
```
data_LiMg2Hg
_symmetry_space_group_name_H-M 'I -4 2 d'
_symmetry_Int_Tables_number 122
_symmetry_space_group_name_Hall 'I -4 2bw'
_cell_length_a 7.9189
_cell_length_b 7.9189
_cell_length_c 5.9081
_cell_angle_alpha 90.00
_cell_angle_beta 90.00
_cell_angle_gamma 90.00
loop_
_atom_site_label
_atom_site_type_symbol
_atom_site_fract_x
_atom_site_fract_y
_atom_site_fract_z
Li1 Li 0.0000 0.0000 0.0000
Mg1 Mg 0.2358 0.2500 0.6250
Hg1 Hg 0.0000 0.0000 0.5000
```

## Properties
Magnetization: 0.0 μB/cell
Formation energy from the elements: -0.0119 eV per atom
Raw total energy: -21.81 eV for the cell shown

# 2
Material: CeTh2SiN5
Method: DFT, PBE-GGA
State: relaxed

Geometry as CIF:
```
data_CeTh2SiN5
_symmetry_space_group_name_H-M 'P 4/m b m'
_symmetry_Int_Tables_number 127
_symmetry_space_group_name_Hall '-P 4 2ab'
_cell_length_a 6.7087
_cell_length_b 6.7087
_cell_length_c 5.7686
_cell_angle_alpha 90.00
_cell_angle_beta 90.00
_cell_angle_gamma 90.00
loop_
_atom_site_label
_atom_site_type_symbol
_atom_site_fract_x
_atom_site_fract_y
_atom_site_fract_z
Ce1 Ce 0.0000 0.0000 0.0000
Th1 Th 0.1776 0.3224 0.5000
Si1 Si 0.0000 0.5000 0.0000
N1 N 0.0000 0.0000 0.5000
N2 N 0.1370 0.6370 0.2200
```

## Properties
Magnetization: 1.9 μB/cell
ΔE_f (raw): -1.2077 eV/atom
Raw total energy: -157.39 eV for the cell shown

- Number 1 is which compound?
  LiMg2Hg

Please write out number 1 again, unchanged.
Material: LiMg2Hg
Method: DFT, PBE-GGA
State: relaxed

Geometry as CIF:
```
data_LiMg2Hg
_symmetry_space_group_name_H-M 'I -4 2 d'
_symmetry_Int_Tables_number 122
_symmetry_space_group_name_Hall 'I -4 2bw'
_cell_length_a 7.9189
_cell_length_b 7.9189
_cell_length_c 5.9081
_cell_angle_alpha 90.00
_cell_angle_beta 90.00
_cell_angle_gamma 90.00
loop_
_atom_site_label
_atom_site_type_symbol
_atom_site_fract_x
_atom_site_fract_y
_atom_site_fract_z
Li1 Li 0.0000 0.0000 0.0000
Mg1 Mg 0.2358 0.2500 0.6250
Hg1 Hg 0.0000 0.0000 0.5000
```

## Properties
Magnetization: 0.0 μB/cell
Formation energy from the elements: -0.0119 eV per atom
Raw total energy: -21.81 eV for the cell shown

- Look up the magnetization of the first one.
  0.0 μB/cell

- What is the magnetization in the first record?
  0.0 μB/cell